Compound: Y4TeSe3
Source: Alexandria via LeMat-Bulk
Functional: PBE
Structure: optimized geometry

Summary:
volume	25.4	Å³/atom
magnetization	0.00	μB per formula unit
relative energy among the computed polymorphs	0	kJ/mol of formula units
E_tot	-6.61	eV/atom

Lattice parameters (Å, degrees): 4.1098 4.1098 27.7783 90.00 90.00 120.00
Space group P6_3/mmc (No. 194)
Symmetry-distinct sites (fractional):
1 Y 0.0000 0.0000 0.1767 [4 per cell]
2 Y 0.3333 0.6667 0.0630 [4 per cell]
3 Te 0.3333 0.6667 0.2500 [2 per cell]
4 Se 0.0000 0.0000 0.0000 [2 per cell]
5 Se 0.3333 0.6667 0.6196 [4 per cell]

***

Compound: Y5Te5Se2
Source: Alexandria via LeMat-Bulk
Functional: PBE
Structure: optimized geometry

Summary:
volume	30.5	Å³/atom
magnetization	0.00	μB per formula unit
E_tot	-6.11	eV/atom

Lattice parameters (Å, degrees): 14.1438 4.2075 12.7497 90.00 105.51 90.00
Space group C2/m (No. 12)
Symmetry-distinct sites (fractional):
1 Y 0.0000 0.0000 0.0000 [2 per cell]
2 Y 0.1091 0.0000 0.4091 [4 per cell]
3 Y 0.1849 0.5000 0.8060 [4 per cell]
4 Te 0.0000 0.5000 0.5000 [2 per cell]
5 Te 0.1636 0.5000 0.0517 [4 per cell]
6 Te 0.2480 0.5000 0.3532 [4 per cell]
7 Se 0.0389 0.0000 0.7904 [4 per cell]

***

Compound: Y6Te3Se2
Source: Alexandria via LeMat-Bulk
Functional: PBE
Structure: optimized geometry

Summary:
volume	28.3	Å³/atom
magnetization	0.00	μB per formula unit
E_tot	-6.35	eV/atom

Lattice parameters (Å, degrees): 4.1418 4.1418 62.8541 90.00 90.00 120.00
Space group R-3m (No. 166, hexagonal axes)
Symmetry-distinct sites (fractional):
1 Y 0.0000 0.0000 0.0931 [6 per cell]
2 Y 0.0000 0.0000 0.1891 [6 per cell]
3 Y 0.0000 0.0000 0.3628 [6 per cell]
4 Te 0.0000 0.0000 0.0000 [3 per cell]
5 Te 0.0000 0.0000 0.2721 [6 per cell]
6 Se 0.0000 0.0000 0.4514 [6 per cell]

***

Compound: Y2Te2Se
Source: Alexandria via LeMat-Bulk
Functional: PBE
Structure: optimized geometry

Summary:
volume	27.7	Å³/atom
magnetization	0.00	μB per formula unit
relative energy among the computed polymorphs	51	kJ/mol of formula units
E_tot	-5.93	eV/atom

Lattice parameters (Å, degrees): 8.1028 8.1028 4.2201 90.00 90.00 90.00
Space group P4/mbm (No. 127)
Symmetry-distinct sites (fractional):
1 Y 0.1657 0.3343 0.0000 [4 per cell]
2 Te 0.1423 0.6423 0.5000 [4 per cell]
3 Se 0.0000 0.0000 0.0000 [2 per cell]

***

Compound: Y2TeSe
Source: Alexandria via LeMat-Bulk
Functional: PBE
Structure: optimized geometry

Summary:
volume	27.0	Å³/atom
magnetization	0.00	μB per formula unit
relative energy among the computed polymorphs	33	kJ/mol of formula units
E_tot	-6.39	eV/atom

Lattice parameters (Å, degrees): 4.1411 4.1411 6.3015 90.00 90.00 90.00
Space group P4mm (No. 99)
Symmetry-distinct sites (fractional):
1 Y 0.0000 0.0000 0.0000 [1 per cell]
2 Y 0.5000 0.5000 0.3802 [1 per cell]
3 Te 0.5000 0.5000 0.8856 [1 per cell]
4 Se 0.0000 0.0000 0.4590 [1 per cell]

***

Compound: Y2TeSe
Source: Alexandria via LeMat-Bulk
Functional: PBE
Structure: optimized geometry

Summary:
volume	26.3	Å³/atom
magnetization	1.79	μB per formula unit
relative energy among the computed polymorphs	450	kJ/mol of formula units
E_tot	-5.31	eV/atom

Lattice parameters (Å, degrees): 7.4948 7.4948 7.4948 90.00 90.00 90.00
Space group F-43m (No. 216)
Symmetry-distinct sites (fractional):
1 Y 0.0000 0.0000 0.0000 [4 per cell]
2 Y 0.2500 0.2500 0.2500 [4 per cell]
3 Te 0.0000 0.0000 0.5000 [4 per cell]
4 Se 0.2500 0.2500 0.7500 [4 per cell]

***

Compound: YTeSe3
Source: Alexandria via LeMat-Bulk
Functional: PBE
Structure: optimized geometry

Summary:
volume	32.1	Å³/atom
magnetization	0.00	μB per formula unit
relative energy among the computed polymorphs	0	kJ/mol of formula units
E_tot	-4.20	eV/atom

Lattice parameters (Å, degrees): 5.4352 5.4352 5.4352 90.00 90.00 90.00
Space group Pm-3m (No. 221)
Symmetry-distinct sites (fractional):
1 Y 0.0000 0.0000 0.0000 [1 per cell]
2 Te 0.5000 0.5000 0.5000 [1 per cell]
3 Se 0.0000 0.0000 0.5000 [3 per cell]

***

Compound: Y2TeSe
Source: Alexandria via LeMat-Bulk
Functional: PBE
Structure: optimized geometry

Summary:
volume	25.0	Å³/atom
magnetization	1.17	μB per formula unit
relative energy among the computed polymorphs	102	kJ/mol of formula units
E_tot	-6.21	eV/atom

Lattice parameters (Å, degrees): 3.6806 3.6806 7.3687 90.00 90.00 90.00
Space group P4/mmm (No. 123)
Symmetry-distinct sites (fractional):
1 Y 0.0000 0.0000 0.2414 [2 per cell]
2 Te 0.5000 0.5000 0.5000 [1 per cell]
3 Se 0.5000 0.5000 0.0000 [1 per cell]

***

Compound: Y2TeSe
Source: Alexandria via LeMat-Bulk
Functional: PBE
Structure: optimized geometry

Summary:
volume	26.9	Å³/atom
magnetization	0.00	μB per formula unit
relative energy among the computed polymorphs	33	kJ/mol of formula units
E_tot	-6.39	eV/atom

Lattice parameters (Å, degrees): 5.9843 5.9925 11.9866 90.00 90.00 90.00
Space group Imma (No. 74)
Symmetry-distinct sites (fractional):
1 Y 0.0000 0.2500 0.1112 [4 per cell]
2 Y 0.0000 0.2500 0.6317 [4 per cell]
3 Te 0.0000 0.2500 0.3716 [4 per cell]
4 Se 0.0000 0.2500 0.8724 [4 per cell]

***

Compound: Y2TeSe
Source: Alexandria via LeMat-Bulk
Functional: PBE
Structure: optimized geometry

Summary:
volume	26.8	Å³/atom
magnetization	0.00	μB per formula unit
relative energy among the computed polymorphs	11	kJ/mol of formula units
E_tot	-6.44	eV/atom

Lattice parameters (Å, degrees): 4.2187 4.2187 20.8769 90.00 90.00 120.00
Space group R-3m (No. 166, hexagonal axes)
Symmetry-distinct sites (fractional):
1 Y 0.0000 0.0000 0.2380 [6 per cell]
2 Te 0.0000 0.0000 0.0000 [3 per cell]
3 Se 0.0000 0.0000 0.5000 [3 per cell]

***

Compound: Y3Te2Se
Source: Alexandria via LeMat-Bulk
Functional: PBE
Structure: optimized geometry

Summary:
volume	27.8	Å³/atom
magnetization	0.00	μB per formula unit
relative energy among the computed polymorphs	6	kJ/mol of formula units
E_tot	-6.32	eV/atom

Lattice parameters (Å, degrees): 4.2396 4.2396 18.5929 90.00 90.00 90.00
Space group I4/mmm (No. 139)
Symmetry-distinct sites (fractional):
1 Y 0.0000 0.0000 0.0000 [2 per cell]
2 Y 0.0000 0.0000 0.3531 [4 per cell]
3 Te 0.0000 0.0000 0.1736 [4 per cell]
4 Se 0.0000 0.0000 0.5000 [2 per cell]

***

Compound: Y2TeSe
Source: Alexandria via LeMat-Bulk
Functional: PBE
Structure: optimized geometry

Summary:
volume	26.7	Å³/atom
magnetization	0.00	μB per formula unit
relative energy among the computed polymorphs	0	kJ/mol of formula units
E_tot	-6.47	eV/atom

Lattice parameters (Å, degrees): 4.1113 4.1113 21.8822 90.00 90.00 120.00
Space group R3m (No. 160, hexagonal axes)
Symmetry-distinct sites (fractional):
1 Y 0.0000 0.0000 0.0000 [3 per cell]
2 Y 0.0000 0.0000 0.1873 [3 per cell]
3 Te 0.0000 0.0000 0.4261 [3 per cell]
4 Se 0.0000 0.0000 0.5956 [3 per cell]